No. 1
## ZrNi6Ir (PBE)

Data for ZrNi6Ir after structural relaxation.

total DFT energy (no corrections): -6.602 eV/atom
energy of formation from the pure elements: -0.089 eV/atom

Cell and atoms, written as POSCAR:
```
ZrNi6Ir
1.0
4.670 0.000 0.000
0.000 4.670 0.000
0.000 0.000 4.670
Zr Ni Ir
1 6 1
Direct
0.000 0.000 0.000
0.000 0.257 0.500
0.000 0.743 0.500
0.257 0.500 0.000
0.500 0.000 0.257
0.500 0.000 0.743
0.743 0.500 0.000
0.500 0.500 0.500
```

---

No. 2
## ZrNi2Ir2 (PBE)

Data for ZrNi2Ir2 after structural relaxation.

offset from the most stable computed form: 0.360 eV/f.u.
total DFT energy (no corrections): -7.754 eV/atom
energy of formation from the pure elements: -0.187 eV/atom

Cell and atoms, written as POSCAR:
```
ZrNi2Ir2
1.0
-1.779 1.779 6.145
1.779 -1.779 6.145
1.779 1.779 -6.145
Zr Ni Ir
1 2 2
Direct
0.000 0.000 0.000
0.250 0.750 0.500
0.750 0.250 0.500
0.395 0.395 0.000
0.605 0.605 0.000
```

---

No. 3
## ZrNi3Ir (PBE)

Data for ZrNi3Ir after structural relaxation.

offset from the most stable computed form: 0.000 eV/f.u.
total DFT energy (no corrections): -6.146 eV/atom
energy of formation from the pure elements: 0.805 eV/atom

Cell and atoms, written as POSCAR:
```
ZrNi3Ir
1.0
4.476 0.000 0.000
0.000 4.476 0.000
0.000 0.000 4.476
Zr Ni Ir
1 3 1
Direct
0.000 0.000 0.000
0.000 0.500 0.500
0.500 0.000 0.500
0.500 0.500 0.000
0.500 0.500 0.500
```